(1)
Below is crystalline Tb3SmY2Er6 at its relaxed geometry, with properties calculated at the PBE level.

Output
- energy of formation (kJ/mol of formula units) = 23
- SG = C2/m (12)
- calculated density (g cm⁻³) = 7.98
- DOS(E_F) (states/eV/cell) = 16.196
- energy (eV per atom) = -4.889

```
Tb3SmY2Er6
1.0
-1.121 -2.368 -5.544
5.605 -0.450 2.444
-4.424 -9.106 5.913
Tb Sm Y Er
3 1 2 6
direct
0.167 0.833 0.500 Tb
0.833 0.167 0.500 Tb
0.500 0.500 0.500 Tb
0.000 0.000 0.000 Sm
0.333 0.667 0.000 Y
0.667 0.333 0.000 Y
0.916 0.583 0.749 Er
0.751 0.751 0.251 Er
0.084 0.417 0.251 Er
0.583 0.916 0.749 Er
0.249 0.249 0.749 Er
0.417 0.084 0.251 Er
```

***

(2)
Below is crystalline TbSm6YEr2 at its relaxed geometry, with properties calculated at the PBE level.

Output
- energy of formation (kJ/mol of formula units) = 112
- SG = C2/c (15)
- calculated density (g cm⁻³) = 7.42
- DOS(E_F) (states/eV/cell) = 28.457
- energy (eV per atom) = -4.737

```
TbSm6YEr2
1.0
-8.529 -3.910 -2.185
4.559 -5.497 -5.271
-0.584 -2.040 8.619
Tb Sm Y Er
2 12 2 4
direct
0.250 0.973 0.027 Tb
0.750 0.027 0.973 Tb
0.055 0.118 0.758 Sm
0.445 0.242 0.882 Sm
0.945 0.882 0.242 Sm
0.555 0.758 0.118 Sm
0.316 0.984 0.435 Sm
0.184 0.565 0.016 Sm
0.684 0.016 0.565 Sm
0.816 0.435 0.984 Sm
0.120 0.708 0.492 Sm
0.380 0.508 0.292 Sm
0.880 0.292 0.508 Sm
0.620 0.492 0.708 Sm
0.250 0.409 0.591 Y
0.750 0.591 0.409 Y
0.455 0.800 0.700 Er
0.045 0.300 0.200 Er
0.545 0.200 0.300 Er
0.955 0.700 0.800 Er
```

***

(3)
Below is crystalline TbSm3YEr at its relaxed geometry, with properties calculated at the PBE level.

Output
- energy of formation (kJ/mol of formula units) = 11
- SG = Cmcm (63)
- calculated density (g cm⁻³) = 7.34
- DOS(E_F) (states/eV/cell) = 16.793
- energy (eV per atom) = -4.951

```
TbSm3YEr
1.0
-4.013 0.638 3.034
0.910 -7.856 -1.383
6.026 -0.732 8.124
Tb Sm Y Er
2 6 2 2
direct
0.000 0.000 0.500 Tb
0.000 0.000 0.000 Tb
0.666 0.331 0.500 Sm
0.334 0.669 0.500 Sm
0.334 0.669 0.000 Sm
0.666 0.331 0.000 Sm
0.166 0.331 0.750 Sm
0.834 0.669 0.250 Sm
0.834 0.669 0.750 Y
0.166 0.331 0.250 Y
0.500 0.000 0.750 Er
0.500 0.000 0.250 Er
```

***

(4)
Below is crystalline Tb2SmY5Er at its relaxed geometry, with properties calculated at the PBE level.

Output
- energy of formation (kJ/mol of formula units) = 241
- SG = I4/mcm (140)
- calculated density (g cm⁻³) = 6.10
- DOS(E_F) (states/eV/cell) = 23.727
- energy (eV per atom) = -5.374

```
Tb2SmY5Er
1.0
-0.709 3.598 -8.067
-3.406 -7.579 -3.081
-4.829 4.401 7.255
Tb Sm Y Er
4 2 10 2
direct
0.114 0.386 0.000 Tb
0.614 0.114 0.000 Tb
0.386 0.886 0.000 Tb
0.886 0.614 0.000 Tb
0.250 0.250 0.500 Sm
0.750 0.750 0.500 Sm
0.928 0.428 0.268 Y
0.660 0.160 0.732 Y
0.072 0.572 0.732 Y
0.160 0.072 0.732 Y
0.572 0.660 0.732 Y
0.840 0.928 0.268 Y
0.428 0.340 0.268 Y
0.340 0.840 0.268 Y
0.500 0.500 0.000 Y
0.000 0.000 0.000 Y
0.250 0.750 0.500 Er
0.750 0.250 0.500 Er
```

***

Q: Look up the energy of the fourth one.
A: -5.374 eV per atom

***

Q: What is the formula in the first record?
A: Tb3SmY2Er6

***

Q: Which of these has the highest energy of formation?
A: Tb2SmY5Er

***

Q: Among the records above, which one has the highest calculated density?
A: Tb3SmY2Er6